Entry from Alexandria via LeMat-Bulk: an optimized crystal structure of ScSi2NiO (PBE+U).

a b c (Å): 5.161 3.782 5.161
angles (deg): 90.00 90.00 90.00
Fractional coordinates of all 5 atoms:
Sc1 0.000 0.000 0.000
Ni1 0.500 0.500 0.500
Si1 0.000 0.000 0.500
Si2 0.500 0.000 0.000
O1 0.000 0.500 0.000

Results
Energy in eV per atom: -4.319
SG: P4/mmm (123)